Record 1
A relaxed structure of CaMgAg5Sn2. Source: Alexandria, functional GGA-PBE.

Cell: 4.9252 4.9252 8.7676 Å, 90.00 90.00 90.00°
Atoms (fractional coordinates):
Ca 0.0000 0.0000 0.5000
Ag 0.5000 0.0000 0.2956
Ag 0.0000 0.5000 0.7044
Ag 0.5000 0.5000 0.5000
Ag 0.5000 0.0000 0.7044
Ag 0.0000 0.5000 0.2956
Sn 0.5000 0.5000 0.8401
Sn 0.5000 0.5000 0.1599
Mg 0.0000 0.0000 0.0000

Summary:
- Space-group type: P4/mmm (123)
- Final energy: -2.863 eV/atom



Record 2
A relaxed structure of SrCaMg2Ag4. Source: Alexandria, functional GGA-PBE.

Cell: 4.7997 4.7997 10.3630 Å, 76.61 76.61 60.00°
Atoms (fractional coordinates):
Mg 0.2439 0.2439 0.2682
Mg 0.7561 0.7561 0.7318
Ag 0.1094 0.1094 0.6719
Ag 0.3993 0.3993 0.8022
Ag 0.8906 0.8906 0.3281
Ag 0.6007 0.6007 0.1978
Ca 0.5000 0.5000 0.5000
Sr 0.0000 0.0000 0.0000

Summary:
- Space-group type: R-3m (166)
- Final energy: -2.542 eV/atom



Record 3
A relaxed structure of SrCa2MgAg. Source: Alexandria, functional GGA-PBE.

Cell: 5.8417 5.8417 5.3798 Å, 90.00 90.00 90.00°
Atoms (fractional coordinates):
Ag 0.0000 0.0000 0.0000
Ca 0.0000 0.5000 0.0000
Ca 0.5000 0.0000 0.0000
Sr 0.5000 0.5000 0.5000
Mg 0.0000 0.0000 0.5000

Summary:
- Space-group type: P4/mmm (123)
- ΔE to the lowest computed polymorph: 0 meV per atom



Record 4
A relaxed structure of SrCa2MgAg. Source: Alexandria, functional GGA-PBE.

Cell: 5.7809 5.7809 6.0380 Å, 90.00 90.00 90.00°
Atoms (fractional coordinates):
Ca 0.0000 0.5000 0.0000
Ca 0.5000 0.0000 0.0000
Ag 0.0000 0.0000 0.0000
Mg 0.5000 0.5000 0.5000
Sr 0.0000 0.0000 0.5000

Summary:
- Space-group type: P4/mmm (123)
- ΔE to the lowest computed polymorph: 68 meV per atom



Record 5
A relaxed structure of CaThMgAg. Source: Alexandria, functional GGA-PBE.

Cell: 5.3736 5.3736 5.3736 Å, 60.00 60.00 60.00°
Atoms (fractional coordinates):
Ca 0.0000 0.0000 0.0000
Mg 0.7500 0.7500 0.7500
Th 0.5000 0.5000 0.5000
Ag 0.2500 0.2500 0.2500

Summary:
- Space-group type: F-43m (216)
- Final energy: -3.453 eV/atom



Record 6
A relaxed structure of CaMg2Tl2Ag2. Source: Alexandria, functional GGA-PBE.

Cell: 4.8798 4.8798 8.7518 Å, 73.81 73.81 60.00°
Atoms (fractional coordinates):
Ag 0.7533 0.7533 0.7402
Ag 0.2467 0.2467 0.2598
Mg 0.1343 0.1343 0.5972
Mg 0.8657 0.8657 0.4028
Tl 0.5966 0.5966 0.2102
Tl 0.4034 0.4034 0.7898
Ca 0.0000 0.0000 0.0000

Summary:
- Space-group type: R-3m (166)
- Final energy: -2.381 eV/atom



Record 7
A relaxed structure of CaMgTlAg. Source: Alexandria, functional GGA-PBE.

Cell: 5.1309 5.1309 5.1309 Å, 60.00 60.00 60.00°
Atoms (fractional coordinates):
Tl 0.7500 0.7500 0.7500
Ag 0.2500 0.2500 0.2500
Ca 0.0000 0.0000 0.0000
Mg 0.5000 0.5000 0.5000

Summary:
- Space-group type: F-43m (216)
- Final energy: -2.462 eV/atom



Record 8
A relaxed structure of CaTmMgAg. Source: Alexandria, functional GGA-PBE.

Cell: 5.2711 5.2711 5.2711 Å, 60.00 60.00 60.00°
Atoms (fractional coordinates):
Mg 0.5000 0.5000 0.5000
Ag 0.0000 0.0000 0.0000
Ca 0.2500 0.2500 0.2500
Tm 0.7500 0.7500 0.7500

Summary:
- Space-group type: F-43m (216)
- ΔE to the lowest computed polymorph: 66 meV per atom